DFT (PBE) results for a relaxed LaDyY crystal.

Output
Formation energy in meV per atom: 35
Final energy in eV/atom: -5.30
Offset from the most stable computed form in meV per atom: 17.1
Space group: No. 40

Lattice parameters (Å, degrees): 3.685 17.610 6.222 90.00 90.00 90.00
Element x y z (fractional)
1 La 0.250 0.088 0.000
2 La 0.250 0.588 0.500
3 La 0.750 0.412 0.500
4 La 0.750 0.912 0.000
5 Dy 0.250 0.248 0.668
6 Dy 0.250 0.748 0.168
7 Dy 0.750 0.252 0.168
8 Dy 0.750 0.752 0.668
9 Y 0.250 0.413 0.000
10 Y 0.250 0.913 0.500
11 Y 0.750 0.087 0.500
12 Y 0.750 0.587 0.000